No. 1
This record from the Alexandria database describes a geometry-optimized Mg2Al2GaPd5 structure. The functional is PBE.

Output
The total energy is -92.67 eV per cell. The calculated density is 7.14 g/cm³. The calculation puts the formation energy at -0.67 eV/atom.

Geometry as extended XYZ:
```
20
Lattice="10.0288 0.0000 0.0000 0.0000 10.0288 0.0000 0.0000 0.0000 3.2597" Properties=species:S:1:pos:R:3 pbc="T T T"
Mg 1.6761 3.3383 0.0000
Mg 3.3383 8.3527 0.0000
Mg 6.6905 1.6761 0.0000
Mg 8.3527 6.6905 0.0000
Al 1.3283 6.3427 0.0000
Al 3.6860 1.3283 0.0000
Al 6.3427 8.7004 0.0000
Al 8.7004 3.6860 0.0000
Ga 0.0000 0.0000 0.0000
Ga 5.0144 5.0144 0.0000
Pd 0.0000 5.0144 1.6298
Pd 0.9226 8.1714 1.6298
Pd 1.8573 0.9226 1.6298
Pd 3.1571 5.9370 1.6298
Pd 4.0918 3.1571 1.6298
Pd 5.0144 0.0000 1.6298
Pd 5.9370 6.8717 1.6298
Pd 6.8717 4.0918 1.6298
Pd 8.1714 9.1062 1.6298
Pd 9.1062 1.8573 1.6298
```

=====

No. 2
This record from the Alexandria database describes a geometry-optimized MgAlGaPd structure. The functional is PBE.

Output
The total energy is -60.03 eV per cell. The calculated density is 5.73 g/cm³. The calculation puts the formation energy at -0.36 eV/atom. As for the polymorph energy (0 for the lowest one): 0.00 kcal/mol of atoms.

Geometry as extended XYZ:
```
16
Lattice="6.4106 0.0000 0.0000 0.0000 6.4106 0.0000 0.0000 0.0000 6.4106" Properties=species:S:1:pos:R:3 pbc="T T T"
Mg 0.0000 0.0000 0.0000
Mg 0.0000 3.2053 3.2053
Mg 3.2053 0.0000 3.2053
Mg 3.2053 3.2053 0.0000
Al 0.0000 0.0000 3.2053
Al 0.0000 3.2053 0.0000
Al 3.2053 0.0000 0.0000
Al 3.2053 3.2053 3.2053
Ga 1.6027 1.6027 4.8080
Ga 1.6027 4.8080 1.6027
Ga 4.8080 1.6027 1.6027
Ga 4.8080 4.8080 4.8080
Pd 1.6027 1.6027 1.6027
Pd 1.6027 4.8080 4.8080
Pd 4.8080 1.6027 4.8080
Pd 4.8080 4.8080 1.6027
```

=====

No. 3
This record from the Alexandria database describes a geometry-optimized MgAlGa2Pd4 structure. The functional is PBE.

Output
The total energy is -38.00 eV per cell. The calculated density is 8.49 g/cm³. The calculation puts the formation energy at -0.73 eV/atom.

Geometry as extended XYZ:
```
8
Lattice="2.2011 1.2708 7.1803 -2.2011 1.2708 7.1803 0.0000 -2.5416 7.1803" Properties=species:S:1:pos:R:3 pbc="T T T"
Mg 0.0000 0.0000 0.0000
Al 0.0000 0.0000 10.7704
Ga 0.0000 0.0000 5.4703
Ga 0.0000 0.0000 16.0706
Pd 0.0000 0.0000 2.7971
Pd 0.0000 0.0000 8.2037
Pd 0.0000 0.0000 13.3372
Pd 0.0000 0.0000 18.7438
```

=====

No. 4
This record from the Alexandria database describes a geometry-optimized MgAl2GaPd4 structure. The functional is PBE.

Output
The total energy is -39.13 eV per cell. The calculated density is 7.95 g/cm³. The calculation puts the formation energy at -0.78 eV/atom.

Geometry as extended XYZ:
```
8
Lattice="2.2003 1.2704 7.1425 -2.2003 1.2704 7.1425 0.0000 -2.5407 7.1425" Properties=species:S:1:pos:R:3 pbc="T T T"
Mg 0.0000 0.0000 0.0000
Al 0.0000 0.0000 5.4179
Al 0.0000 0.0000 16.0095
Ga 0.0000 0.0000 10.7137
Pd 0.0000 0.0000 2.7479
Pd 0.0000 0.0000 8.1155
Pd 0.0000 0.0000 13.3120
Pd 0.0000 0.0000 18.6795
```

=====

- Look up the calculated density of the third one.
  8.49 g/cm³

=====

- What is the calculated density in the second record?
  5.73 g/cm³